# 1
A plane-wave DFT calculation with SCAN was carried out for a PBEsol-optimized structure of CdSn2Pb.

Structure (POSCAR):
```
CdSn2Pb
1.0
0.0000 3.7409 3.7409
3.7409 0.0000 3.7409
3.7409 3.7409 0.0000
Cd Sn Pb
1 2 1
Direct
0.0000 0.0000 0.0000
0.2500 0.2500 0.2500
0.7500 0.7500 0.7500
0.5000 0.5000 0.5000
```

Summary:
total magnetic moment: 0.0 Bohr magnetons per cell
energy of formation from the pure elements: 179.7 meV per atom

=====

# 2
A plane-wave DFT calculation with SCAN was carried out for a PBEsol-optimized structure of SrCdPb2.

Structure (POSCAR):
```
SrCdPb2
1.0
-2.4048 2.4048 4.9615
2.4048 -2.4048 4.9615
2.4048 2.4048 -4.9615
Sr Cd Pb
1 1 2
Direct
0.0000 0.0000 0.0000
0.7500 0.2500 0.5000
0.2500 0.7500 0.5000
0.5000 0.5000 0.0000
```

Summary:
total magnetic moment: 0.0 Bohr magnetons per cell
energy of formation from the pure elements: -372.6 meV per atom

=====

> Which of these has the lowest energy of formation from the pure elements?

SrCdPb2

=====

Repeat the second record exactly.
A plane-wave DFT calculation with SCAN was carried out for a PBEsol-optimized structure of SrCdPb2.

Structure (POSCAR):
```
SrCdPb2
1.0
-2.4048 2.4048 4.9615
2.4048 -2.4048 4.9615
2.4048 2.4048 -4.9615
Sr Cd Pb
1 1 2
Direct
0.0000 0.0000 0.0000
0.7500 0.2500 0.5000
0.2500 0.7500 0.5000
0.5000 0.5000 0.0000
```

Summary:
total magnetic moment: 0.0 Bohr magnetons per cell
energy of formation from the pure elements: -372.6 meV per atom